This record from Alexandria via LeMat-Bulk describes Sb2TeHW after structural relaxation. The functional is PBE-GGA.

## Properties
**Energy above the most stable polymorph in this dataset**: 0.000 eV per atom
**Density of states at the Fermi level**: 2.97 states/eV per cell
**Total DFT energy (no corrections)**: -4.576 eV/atom
**Theoretical density**: 6.4 g cm⁻³
**Magnetization**: 0.00 μB per cell
**Space-group type**: P4/mmm

Cell: 5.260 5.260 5.218 Å, 90.00 90.00 90.00°
Positions (direct):
Sb 0.000 0.500 0.000
Sb 0.500 0.000 0.000
Te 0.000 0.000 0.500
H 0.500 0.500 0.500
W 0.000 0.000 0.000